1.
Density functional theory data (PBE) for an optimized crystal structure of Cs2RbSrF.

a b c (Å): 8.424 8.424 4.772
angles (deg): 90.00 90.00 90.00
Atoms (fractional coordinates):
Cs 0.000 0.500 0.000
Cs 0.500 0.000 0.000
Rb 0.000 0.000 0.500
Sr 0.500 0.500 0.500
F 0.500 0.500 0.000

Properties
DOS at the Fermi energy   3.7 states/eV per cell
Size of the total moment   0.00 Bohr magnetons per cell
Crystal system   tetragonal
Total energy   -2.2549 eV per atom
V   338.61 Å³/cell
E_form (uncorrected)   -1009 meV/atom

2.
Density functional theory data (PBE) for an optimized crystal structure of TbGe3Ru2.

a b c (Å): 6.074 6.074 5.788
angles (deg): 90.00 90.00 79.55
Atoms (fractional coordinates):
Tb 0.142 0.858 0.750
Tb 0.858 0.142 0.250
Ge 0.055 0.624 0.250
Ge 0.376 0.945 0.250
Ge 0.489 0.511 0.250
Ge 0.511 0.489 0.750
Ge 0.624 0.055 0.750
Ge 0.945 0.376 0.750
Ru 0.284 0.284 0.000
Ru 0.284 0.284 0.500
Ru 0.716 0.716 0.000
Ru 0.716 0.716 0.500

Properties
DOS at the Fermi energy   4.9 states/eV per cell
Size of the total moment   0.00 Bohr magnetons per cell
Crystal system   orthorhombic
Total energy   -6.6003 eV per atom
V   210.02 Å³/cell

3.
Density functional theory data (PBE) for an optimized crystal structure of Cs2GeMoW.

a b c (Å): 6.316 6.316 4.940
angles (deg): 90.00 90.00 90.00
Atoms (fractional coordinates):
Cs 0.000 0.500 0.000
Cs 0.500 0.000 0.000
Ge 0.000 0.000 0.500
Mo 0.500 0.500 0.500
W 0.000 0.000 0.000

Properties
DOS at the Fermi energy   6.5 states/eV per cell
Size of the total moment   5.52 Bohr magnetons per cell
Crystal system   tetragonal
Total energy   -3.9769 eV per atom
V   197.06 Å³/cell

4.
Density functional theory data (PBE) for an optimized crystal structure of AlTcBr2.

a b c (Å): 3.112 5.892 9.518
angles (deg): 90.00 90.00 90.00
Atoms (fractional coordinates):
Al 0.000 0.000 0.000
Al 0.500 0.500 0.000
Tc 0.000 0.000 0.500
Tc 0.500 0.500 0.500
Br 0.000 0.500 0.288
Br 0.000 0.500 0.712
Br 0.500 0.000 0.288
Br 0.500 0.000 0.712

Properties
DOS at the Fermi energy   5.6 states/eV per cell
Size of the total moment   0.00 Bohr magnetons per cell
Crystal system   orthorhombic
Total energy   -3.8742 eV per atom
V   174.54 Å³/cell
E_form (uncorrected)   489 meV/atom

5.
Density functional theory data (PBE) for an optimized crystal structure of LiBe2Se.

a b c (Å): 2.622 5.103 4.082
angles (deg): 90.00 93.00 90.00
Atoms (fractional coordinates):
Li 0.000 0.000 0.000
Be 0.284 0.500 0.249
Be 0.716 0.500 0.751
Se 0.500 0.000 0.500

Properties
DOS at the Fermi energy   1.1 states/eV per cell
Size of the total moment   0.00 Bohr magnetons per cell
Crystal system   monoclinic
Total energy   -3.0852 eV per atom
V   54.56 Å³/cell
E_form (uncorrected)   127 meV/atom

6.
Density functional theory data (PBE) for an optimized crystal structure of MnCr2Re.

a b c (Å): 3.704 3.704 3.650
angles (deg): 90.00 90.00 90.00
Atoms (fractional coordinates):
Mn 0.000 0.000 0.000
Cr 0.000 0.500 0.500
Cr 0.500 0.000 0.500
Re 0.500 0.500 0.000

Properties
DOS at the Fermi energy   5.2 states/eV per cell
Size of the total moment   0.54 Bohr magnetons per cell
Crystal system   tetragonal
Total energy   -10.0217 eV per atom
V   50.07 Å³/cell

7.
Density functional theory data (PBE) for an optimized crystal structure of RbSnAu2.

a b c (Å): 4.928 7.646 6.785
angles (deg): 90.00 90.22 90.00
Atoms (fractional coordinates):
Rb 0.249 0.250 0.400
Rb 0.751 0.750 0.600
Sn 0.251 0.750 0.154
Sn 0.749 0.250 0.846
Au 0.250 0.064 0.932
Au 0.250 0.436 0.932
Au 0.750 0.564 0.068
Au 0.750 0.936 0.068

Properties
DOS at the Fermi energy   2.2 states/eV per cell
Size of the total moment   0.00 Bohr magnetons per cell
Crystal system   monoclinic
Total energy   -3.1688 eV per atom
V   255.66 Å³/cell

8.
Density functional theory data (PBE) for an optimized crystal structure of Mo3HOs.

a b c (Å): 4.001 4.001 4.001
angles (deg): 90.00 90.00 90.00
Atoms (fractional coordinates):
Mo 0.000 0.000 0.500
Mo 0.000 0.500 0.000
Mo 0.500 0.000 0.000
H 0.000 0.000 0.000
Os 0.500 0.500 0.500

Properties
DOS at the Fermi energy   4.8 states/eV per cell
Size of the total moment   0.00 Bohr magnetons per cell
Crystal system   cubic
Total energy   -9.2883 eV per atom
V   64.06 Å³/cell

9.
Density functional theory data (PBE) for an optimized crystal structure of Fe3AgH.

a b c (Å): 3.794 3.794 3.794
angles (deg): 90.00 90.00 90.00
Atoms (fractional coordinates):
Fe 0.000 0.000 0.500
Fe 0.000 0.500 0.000
Fe 0.500 0.000 0.000
Ag 0.500 0.500 0.500
H 0.000 0.000 0.000

Properties
DOS at the Fermi energy   3.1 states/eV per cell
Size of the total moment   7.64 Bohr magnetons per cell
Crystal system   cubic
Total energy   -6.1051 eV per atom
V   54.59 Å³/cell

10.
Density functional theory data (PBE) for an optimized crystal structure of Rb4Ac3BiS8.

a b c (Å): 9.259 9.259 9.259
angles (deg): 56.62 56.62 56.62
Atoms (fractional coordinates):
Rb 0.000 0.000 0.000
Rb 0.000 0.500 0.500
Rb 0.500 0.000 0.500
Rb 0.500 0.500 0.000
Ac 0.000 0.000 0.500
Ac 0.000 0.500 0.000
Ac 0.500 0.000 0.000
Bi 0.500 0.500 0.500
S 0.235 0.235 0.235
S 0.244 0.729 0.729
S 0.271 0.271 0.756
S 0.271 0.756 0.271
S 0.729 0.244 0.729
S 0.729 0.729 0.244
S 0.756 0.271 0.271
S 0.765 0.765 0.765

Properties
DOS at the Fermi energy   0.0 states/eV per cell
Size of the total moment   0.00 Bohr magnetons per cell
Crystal system   trigonal
Total energy   -4.9167 eV per atom
V   517.47 Å³/cell
E_form (uncorrected)   -1598 meV/atom

11.
Density functional theory data (PBE) for an optimized crystal structure of CsTcP2O.

a b c (Å): 4.970 4.970 3.950
angles (deg): 90.00 90.00 90.00
Atoms (fractional coordinates):
Cs 0.000 0.000 0.000
Tc 0.500 0.500 0.500
P 0.000 0.500 0.500
P 0.500 0.000 0.500
O 0.500 0.500 0.000

Properties
DOS at the Fermi energy   4.4 states/eV per cell
Size of the total moment   0.00 Bohr magnetons per cell
Crystal system   tetragonal
Total energy   -5.4153 eV per atom
V   97.58 Å³/cell
E_form (uncorrected)   -16 meV/atom

12.
Density functional theory data (PBE) for an optimized crystal structure of Tc2Ir.

a b c (Å): 9.993 2.749 6.503
angles (deg): 90.00 103.84 90.00
Atoms (fractional coordinates):
Tc 0.000 0.000 0.000
Tc 0.057 0.000 0.614
Tc 0.225 0.500 0.946
Tc 0.388 0.000 0.279
Tc 0.500 0.500 0.000
Tc 0.557 0.500 0.614
Tc 0.725 0.000 0.946
Tc 0.888 0.500 0.279
Ir 0.166 0.500 0.331
Ir 0.335 0.000 0.671
Ir 0.666 0.000 0.331
Ir 0.835 0.500 0.671

Properties
DOS at the Fermi energy   10.4 states/eV per cell
Size of the total moment   0.00 Bohr magnetons per cell
Crystal system   monoclinic
Total energy   -10.0621 eV per atom
V   173.41 Å³/cell

13.
Density functional theory data (PBE) for an optimized crystal structure of NdHoInRu.

a b c (Å): 7.265 7.265 7.265
angles (deg): 90.00 90.00 90.00
Atoms (fractional coordinates):
Nd 0.000 0.000 0.000
Nd 0.000 0.500 0.500
Nd 0.500 0.000 0.500
Nd 0.500 0.500 0.000
Ho 0.000 0.000 0.500
Ho 0.000 0.500 0.000
Ho 0.500 0.000 0.000
Ho 0.500 0.500 0.500
In 0.250 0.250 0.750
In 0.250 0.750 0.250
In 0.750 0.250 0.250
In 0.750 0.750 0.750
Ru 0.250 0.250 0.250
Ru 0.250 0.750 0.750
Ru 0.750 0.250 0.750
Ru 0.750 0.750 0.250

Properties
DOS at the Fermi energy   10.1 states/eV per cell
Size of the total moment   0.00 Bohr magnetons per cell
Crystal system   cubic
Total energy   -5.6052 eV per atom
V   383.48 Å³/cell

14.
Density functional theory data (PBE) for an optimized crystal structure of CsLiZnTe2.

a b c (Å): 8.637 8.637 6.745
angles (deg): 90.00 90.00 134.36
Atoms (fractional coordinates):
Cs 0.250 0.750 0.768
Cs 0.750 0.250 0.232
Li 0.250 0.250 0.500
Li 0.750 0.750 0.500
Zn 0.000 0.000 0.000
Zn 0.500 0.500 0.000
Te 0.107 0.893 0.266
Te 0.393 0.607 0.266
Te 0.607 0.393 0.734
Te 0.893 0.107 0.734

Properties
DOS at the Fermi energy   0.0 states/eV per cell
Size of the total moment   0.00 Bohr magnetons per cell
Crystal system   orthorhombic
Total energy   -2.8556 eV per atom
V   359.76 Å³/cell
E_form (uncorrected)   -791 meV/atom

15.
Density functional theory data (PBE) for an optimized crystal structure of MgAs2Ir.

a b c (Å): 6.478 6.478 6.478
angles (deg): 90.00 90.00 90.00
Atoms (fractional coordinates):
Mg 0.000 0.000 0.000
Mg 0.000 0.500 0.500
Mg 0.500 0.000 0.500
Mg 0.500 0.500 0.000
As 0.000 0.000 0.500
As 0.000 0.500 0.000
As 0.250 0.250 0.250
As 0.250 0.750 0.750
As 0.500 0.000 0.000
As 0.500 0.500 0.500
As 0.750 0.250 0.750
As 0.750 0.750 0.250
Ir 0.250 0.250 0.750
Ir 0.250 0.750 0.250
Ir 0.750 0.250 0.250
Ir 0.750 0.750 0.750

Properties
DOS at the Fermi energy   13.0 states/eV per cell
Size of the total moment   0.00 Bohr magnetons per cell
Crystal system   cubic
Total energy   -4.7616 eV per atom
V   271.88 Å³/cell

16.
Density functional theory data (PBE) for an optimized crystal structure of Na3ZnSn2.

a b c (Å): 9.897 9.897 9.897
angles (deg): 143.87 50.73 145.62
Atoms (fractional coordinates):
Na 0.192 0.154 0.346
Na 0.250 0.250 0.000
Na 0.308 0.654 0.963
Na 0.692 0.346 0.037
Na 0.750 0.750 0.000
Na 0.808 0.846 0.654
Zn 0.250 0.750 0.500
Zn 0.750 0.250 0.500
Sn 0.124 0.642 0.767
Sn 0.376 0.142 0.518
Sn 0.624 0.858 0.482
Sn 0.876 0.358 0.233

Properties
DOS at the Fermi energy   5.0 states/eV per cell
Size of the total moment   0.00 Bohr magnetons per cell
Crystal system   orthorhombic
Total energy   -2.3266 eV per atom
V   321.08 Å³/cell

17.
Density functional theory data (PBE) for an optimized crystal structure of NiBCl2.

a b c (Å): 3.322 3.322 19.473
angles (deg): 90.00 90.00 120.00
Atoms (fractional coordinates):
Ni 0.000 0.000 0.000
Ni 0.333 0.667 0.667
Ni 0.667 0.333 0.333
B 0.000 0.000 0.500
B 0.333 0.667 0.167
B 0.667 0.333 0.833
Cl 0.000 0.000 0.411
Cl 0.000 0.000 0.589
Cl 0.333 0.667 0.078
Cl 0.333 0.667 0.256
Cl 0.667 0.333 0.744
Cl 0.667 0.333 0.922

Properties
DOS at the Fermi energy   7.7 states/eV per cell
Size of the total moment   0.00 Bohr magnetons per cell
Crystal system   trigonal
Total energy   -3.2340 eV per atom
V   186.11 Å³/cell
E_form (uncorrected)   804 meV/atom

18.
Density functional theory data (PBE) for an optimized crystal structure of Cs2SmAlSe4.

a b c (Å): 15.406 13.802 8.262
angles (deg): 84.62 63.11 32.27
Atoms (fractional coordinates):
Cs 0.055 0.055 0.695
Cs 0.305 0.305 0.945
Cs 0.695 0.695 0.055
Cs 0.945 0.945 0.305
Sm 0.125 0.125 0.125
Sm 0.875 0.875 0.875
Al 0.375 0.375 0.375
Al 0.625 0.625 0.625
Se 0.015 0.632 0.543
Se 0.311 0.543 0.632
Se 0.368 0.985 0.689
Se 0.457 0.689 0.985
Se 0.543 0.311 0.015
Se 0.632 0.015 0.311
Se 0.689 0.457 0.368
Se 0.985 0.368 0.457

Properties
DOS at the Fermi energy   0.0 states/eV per cell
Size of the total moment   0.00 Bohr magnetons per cell
Crystal system   orthorhombic
Total energy   -4.3382 eV per atom
V   665.55 Å³/cell
E_form (uncorrected)   -1325 meV/atom